# LiTmTcSn, optimized geometry, DFT PBE
# Calculated volume: 18.7 Å³ per atom
# Space group: No. 216
# Formation energy: -0.19 eV/atom
data_LiTmTcSn
_space_group_name_H-M_alt 'P 1'
_space_group_IT_number 1
_cell_length_a 4.727
_cell_length_b 4.727
_cell_length_c 4.727
_cell_angle_alpha 60.00
_cell_angle_beta 60.00
_cell_angle_gamma 60.00
loop_
_space_group_symop_operation_xyz
'x,y,z'
loop_
_atom_site_label
_atom_site_type_symbol
_atom_site_fract_x
_atom_site_fract_y
_atom_site_fract_z
Tc1 Tc 0.000 0.000 0.000
Tm1 Tm 0.750 0.750 0.750
Sn1 Sn 0.250 0.250 0.250
Li1 Li 0.500 0.500 0.500



# LiTcSnW, optimized geometry, DFT PBE
# Calculated volume: 15.6 Å³ per atom
# Space group: No. 216
# Formation energy: -0.01 eV/atom
data_LiTcSnW
_space_group_name_H-M_alt 'P 1'
_space_group_IT_number 1
_cell_length_a 4.450
_cell_length_b 4.450
_cell_length_c 4.450
_cell_angle_alpha 60.00
_cell_angle_beta 60.00
_cell_angle_gamma 60.00
loop_
_space_group_symop_operation_xyz
'x,y,z'
loop_
_atom_site_label
_atom_site_type_symbol
_atom_site_fract_x
_atom_site_fract_y
_atom_site_fract_z
Tc1 Tc 0.750 0.750 0.750
W1 W 0.500 0.500 0.500
Li1 Li 0.250 0.250 0.250
Sn1 Sn 0.000 0.000 0.000



Copy entry 2 word for word.
# LiTcSnW, optimized geometry, DFT PBE
# Calculated volume: 15.6 Å³ per atom
# Space group: No. 216
# Formation energy: -0.01 eV/atom
data_LiTcSnW
_space_group_name_H-M_alt 'P 1'
_space_group_IT_number 1
_cell_length_a 4.450
_cell_length_b 4.450
_cell_length_c 4.450
_cell_angle_alpha 60.00
_cell_angle_beta 60.00
_cell_angle_gamma 60.00
loop_
_space_group_symop_operation_xyz
'x,y,z'
loop_
_atom_site_label
_atom_site_type_symbol
_atom_site_fract_x
_atom_site_fract_y
_atom_site_fract_z
Tc1 Tc 0.750 0.750 0.750
W1 W 0.500 0.500 0.500
Li1 Li 0.250 0.250 0.250
Sn1 Sn 0.000 0.000 0.000



Question: Among the records above, which one has the highest calculated volume?
Answer: LiTmTcSn